Computed, not measured: a relaxed MgCd2Au crystal at the PBE-GGA level of DFT.

DFT total energy: -1.90 eV/atom
energy of formation from the pure elements: -224 meV/atom
total magnetic moment: 0.000 μB per cell

a b c (Å): 4.229 4.229 4.486
angles (deg): 90.00 90.00 90.00
Space group P4/mmm (No. 123)
Unique sites:
Mg 0.000 0.000 0.000 [1 per cell]
Cd 0.000 0.500 0.500 [2 per cell]
Au 0.500 0.500 0.000 [1 per cell]


Computed, not measured: a relaxed Mg2CdAu crystal at the PBE-GGA level of DFT.

DFT total energy: -2.19 eV/atom
relative energy among the computed polymorphs: 0.0206 eV/atom
energy of formation from the pure elements: -346 meV/atom
total magnetic moment: 0.000 μB per cell

a b c (Å): 3.340 4.810 4.820
angles (deg): 90.00 90.00 90.00
Space group Pmm2 (No. 25)
Unique sites:
Mg 0.000 0.000 0.000 [1 per cell]
Mg 0.000 0.500 0.472 [1 per cell]
Cd 0.500 0.000 0.504 [1 per cell]
Au 0.500 0.500 0.970 [1 per cell]


Computed, not measured: a relaxed Mg2CdAu2 crystal at the PBE-GGA level of DFT.

DFT total energy: -2.55 eV/atom
energy of formation from the pure elements: -414 meV/atom
total magnetic moment: 0.000 μB per cell

a b c (Å): 4.6665 4.6665 5.6301
angles (deg): 90.00 90.00 120.00
Space group P-3m1 (No. 164)
Unique sites:
Mg 0.3333 0.6667 0.1649 [2 per cell]
Cd 0.0000 0.0000 0.5000 [1 per cell]
Au 0.3333 0.6667 0.6828 [2 per cell]


Computed, not measured: a relaxed Mg2CdAu crystal at the PBE-GGA level of DFT.

DFT total energy: -2.10 eV/atom
relative energy among the computed polymorphs: 0.1077 eV/atom
energy of formation from the pure elements: -259 meV/atom
total magnetic moment: 0.000 μB per cell

a b c (Å): 6.751 6.751 6.751
angles (deg): 90.00 90.00 90.00
Space group F-43m (No. 216)
Unique sites:
Mg 0.000 0.000 0.000 [4 per cell]
Mg 0.250 0.250 0.250 [4 per cell]
Cd 0.000 0.000 0.500 [4 per cell]
Au 0.250 0.250 0.750 [4 per cell]


Computed, not measured: a relaxed MgCd2Au5 crystal at the PBE-GGA level of DFT.

DFT total energy: -2.75 eV/atom
energy of formation from the pure elements: -274 meV/atom
total magnetic moment: 0.000 μB per cell

a b c (Å): 4.302 4.302 16.059
angles (deg): 90.00 90.00 90.00
Space group I4/mmm (No. 139)
Unique sites:
Mg 0.000 0.000 0.000 [2 per cell]
Cd 0.000 0.000 0.252 [4 per cell]
Au 0.000 0.000 0.500 [2 per cell]
Au 0.000 0.500 0.122 [8 per cell]


Computed, not measured: a relaxed MgCdAu3 crystal at the PBE-GGA level of DFT.

DFT total energy: -2.14 eV/atom
relative energy among the computed polymorphs: 0.6680 eV/atom
energy of formation from the pure elements: 330 meV/atom
total magnetic moment: 0.000 μB per cell

a b c (Å): 4.963 4.963 4.963
angles (deg): 90.00 90.00 90.00
Space group Pm-3m (No. 221)
Unique sites:
Mg 0.000 0.000 0.000 [1 per cell]
Cd 0.500 0.500 0.500 [1 per cell]
Au 0.000 0.000 0.500 [3 per cell]


Computed, not measured: a relaxed MgCd3Au6 crystal at the PBE-GGA level of DFT.

DFT total energy: -2.65 eV/atom
energy of formation from the pure elements: -253 meV/atom
total magnetic moment: 0.000 μB per cell

a b c (Å): 8.137 4.750 10.360
angles (deg): 90.00 109.33 90.00
Space group P2_1/m (No. 11)
Unique sites:
Mg 0.057 0.250 0.374 [2 per cell]
Cd 0.254 0.250 0.972 [2 per cell]
Cd 0.348 0.750 0.815 [2 per cell]
Cd 0.466 0.250 0.584 [2 per cell]
Au 0.042 0.750 0.921 [2 per cell]
Au 0.128 0.750 0.226 [2 per cell]
Au 0.158 0.250 0.666 [2 per cell]
Au 0.228 0.750 0.520 [2 per cell]
Au 0.347 0.250 0.277 [2 per cell]
Au 0.425 0.750 0.117 [2 per cell]


Computed, not measured: a relaxed Mg2CdAu6 crystal at the PBE-GGA level of DFT.

DFT total energy: -2.91 eV/atom
relative energy among the computed polymorphs: 0.0924 eV/atom
energy of formation from the pure elements: -264 meV/atom
total magnetic moment: 0.000 μB per cell

a b c (Å): 3.969 8.258 11.695
angles (deg): 90.00 90.00 90.00
Space group Immm (No. 71)
Unique sites:
Mg 0.000 0.000 0.173 [4 per cell]
Cd 0.000 0.000 0.500 [2 per cell]
Au 0.000 0.236 0.000 [4 per cell]
Au 0.000 0.259 0.333 [8 per cell]


Computed, not measured: a relaxed Mg2CdAu crystal at the PBE-GGA level of DFT.

DFT total energy: -2.14 eV/atom
relative energy among the computed polymorphs: 0.0689 eV/atom
energy of formation from the pure elements: -298 meV/atom
total magnetic moment: 0.000 μB per cell

a b c (Å): 4.285 4.285 8.424
angles (deg): 90.00 90.00 90.00
Space group I-4m2 (No. 119)
Unique sites:
Mg 0.000 0.000 0.000 [2 per cell]
Mg 0.000 0.500 0.250 [2 per cell]
Cd 0.000 0.000 0.500 [2 per cell]
Au 0.000 0.500 0.750 [2 per cell]


Computed, not measured: a relaxed MgCd2Au crystal at the PBE-GGA level of DFT.

DFT total energy: -1.88 eV/atom
energy of formation from the pure elements: -209 meV/atom
total magnetic moment: 0.000 μB per cell

a b c (Å): 3.528 4.725 9.720
angles (deg): 90.00 90.00 90.00
Space group Immm (No. 71)
Unique sites:
Mg 0.000 0.000 0.000 [2 per cell]
Cd 0.000 0.500 0.235 [4 per cell]
Au 0.000 0.000 0.500 [2 per cell]


Computed, not measured: a relaxed Mg5CdAu6 crystal at the PBE-GGA level of DFT.

DFT total energy: -2.93 eV/atom
energy of formation from the pure elements: -546 meV/atom
total magnetic moment: 0.000 μB per cell

a b c (Å): 14.600 6.782 4.637
angles (deg): 90.00 107.25 90.00
Space group C2/m (No. 12)
Unique sites:
Mg 0.000 0.000 0.000 [2 per cell]
Mg 0.161 0.500 0.662 [4 per cell]
Mg 0.169 0.000 0.670 [4 per cell]
Cd 0.000 0.500 0.000 [2 per cell]
Au 0.000 0.233 0.500 [4 per cell]
Au 0.172 0.242 0.173 [8 per cell]


Computed, not measured: a relaxed Mg6Cd12Au crystal at the PBE-GGA level of DFT.

DFT total energy: -1.36 eV/atom
energy of formation from the pure elements: -103 meV/atom
total magnetic moment: 0.000 μB per cell

a b c (Å): 10.7378 10.7378 12.4524
angles (deg): 90.00 90.00 120.00
Space group R-3 (No. 148, hexagonal axes)
Unique sites:
Mg 0.0313 0.5909 0.2074 [18 per cell]
Cd 0.0451 0.8576 0.3104 [18 per cell]
Cd 0.0625 0.2119 0.9105 [18 per cell]
Au 0.0000 0.0000 0.5000 [3 per cell]


Repeat the fifth record exactly.
Computed, not measured: a relaxed MgCd2Au5 crystal at the PBE-GGA level of DFT.

DFT total energy: -2.75 eV/atom
energy of formation from the pure elements: -274 meV/atom
total magnetic moment: 0.000 μB per cell

a b c (Å): 4.302 4.302 16.059
angles (deg): 90.00 90.00 90.00
Space group I4/mmm (No. 139)
Unique sites:
Mg 0.000 0.000 0.000 [2 per cell]
Cd 0.000 0.000 0.252 [4 per cell]
Au 0.000 0.000 0.500 [2 per cell]
Au 0.000 0.500 0.122 [8 per cell]


> What is the formula in the seventh record?

MgCd3Au6